{
  "formula": "PrOs2W2",
  "functional": "PBE-GGA",
  "state": "optimized geometry",
  "magmom_total_mub_per_cell": 0.000,
  "crystal_system": "tetragonal",
  "space_group": "I4/mmm",
  "formation_energy_ev_per_atom": -0.022,
  "lattice_angstrom": [[-2.189, 2.189, 5.292], [2.189, -2.189, 5.292], [2.189, 2.189, -5.292]],
  "species": ["Pr", "Os", "Os", "W", "W"],
  "fractional_positions": [[0.000, 0.000, 0.000], [0.374, 0.374, 0.000], [0.626, 0.626, 0.000], [0.250, 0.750, 0.500], [0.750, 0.250, 0.500]]
}